# 1
The following is a GGA-PBE calculation of an optimized crystal structure of Nd3Sm5Ru2, from Alexandria.

Summary:
Formation energy from the elements (eV/f.u.): 0.1

Cell: 6.942 10.097 10.097 Å, 75.95 69.89 69.89°
Fractional coordinates of all 20 atoms:
Ru 0.158 0.733 0.951
Nd 0.250 0.000 0.000
Nd 0.321 0.421 0.937
Sm 0.979 0.271 0.271
Nd 0.179 0.063 0.579
Ru 0.658 0.951 0.733
Sm 0.479 0.271 0.271
Nd 0.821 0.937 0.421
Sm 0.935 0.350 0.779
Sm 0.021 0.729 0.729
Sm 0.565 0.221 0.650
Sm 0.435 0.779 0.350
Ru 0.342 0.049 0.267
Nd 0.750 0.000 0.000
Sm 0.065 0.650 0.221
Sm 0.250 0.500 0.500
Sm 0.750 0.500 0.500
Ru 0.842 0.267 0.049
Sm 0.521 0.729 0.729
Nd 0.679 0.579 0.063

# 2
The following is a GGA-PBE calculation of an optimized crystal structure of MnZnNi, from Alexandria.

Summary:
Formation energy from the elements (eV/f.u.): 0.6

Cell: 4.019 4.019 4.019 Å, 60.00 60.00 60.00°
Fractional coordinates of all 3 atoms:
Mn 0.500 0.500 0.500
Zn 0.000 0.000 0.000
Ni 0.750 0.750 0.750

# 3
The following is a GGA-PBE calculation of an optimized crystal structure of BeNbCu2Rh, from Alexandria.

Summary:
Formation energy from the elements (eV/f.u.): 1.2

Cell: 4.009 4.215 4.009 Å, 90.00 90.00 90.00°
Fractional coordinates of all 5 atoms:
Cu 0.000 0.000 0.500
Cu 0.500 0.000 0.000
Rh 0.000 0.500 0.000
Nb 0.500 0.500 0.500
Be 0.000 0.000 0.000

# 4
The following is a GGA-PBE calculation of an optimized crystal structure of SrTa3Ge, from Alexandria.

Summary:
Formation energy from the elements (eV/f.u.): 5.3
Offset from the most stable computed form (eV/atom): 0.000

Cell: 4.941 4.941 4.941 Å, 90.00 90.00 90.00°
Fractional coordinates of all 5 atoms:
Sr 0.500 0.500 0.500
Ta 0.500 0.000 0.000
Ta 0.000 0.500 0.000
Ge 0.000 0.000 0.000
Ta 0.000 0.000 0.500

# 5
The following is a GGA-PBE calculation of an optimized crystal structure of ZrU5As6, from Alexandria.

Summary:
Formation energy from the elements (eV/f.u.): -9.6

Cell: 7.030 7.030 6.975 Å, 99.70 99.70 120.01°
Fractional coordinates of all 12 atoms:
U 0.829 0.171 0.500
As 0.241 0.241 0.750
As 0.759 0.759 0.250
As 0.920 0.593 0.757
U 0.171 0.829 0.500
As 0.080 0.407 0.243
U 0.665 0.335 0.000
U 0.335 0.665 0.000
U 0.500 0.500 0.500
Zr 0.000 0.000 0.000
As 0.593 0.920 0.757
As 0.407 0.080 0.243

# 6
The following is a GGA-PBE calculation of an optimized crystal structure of Ag3PdS, from Alexandria.

Summary:
E_form (uncorrected) (meV per atom): 929.8
Offset from the most stable computed form (eV/atom): 0.496

Cell: 5.027 5.027 5.027 Å, 90.00 90.00 90.00°
Fractional coordinates of all 5 atoms:
Ag 0.000 0.000 0.500
Pd 0.000 0.000 0.000
Ag 0.500 0.000 0.000
Ag 0.000 0.500 0.000
S 0.500 0.500 0.500